Entry 1:
Computed, not measured: a geometry-optimized KLa2Ag structure at the GGA-PBE level of DFT.

a = 6.713 Å, b = 6.713 Å, c = 6.713 Å
α = 137.89°, β = 137.89°, γ = 61.06°
Fractional coordinates of all 4 atoms:
K 0.000 0.000 0.000
La 0.250 0.750 0.500
La 0.500 0.500 0.000
Ag 0.750 0.250 0.500

Values from the calculation:
As for the symmetry: No. 119. The energy of formation is 363 meV/atom.


Entry 2:
Computed, not measured: a geometry-optimized CsHSeN structure at the GGA-PBE level of DFT.

a = 4.529 Å, b = 3.898 Å, c = 5.695 Å
α = 90.00°, β = 105.00°, γ = 90.00°
Fractional coordinates of all 4 atoms:
Cs 0.000 0.000 0.000
H 0.237 0.500 0.650
Se 0.621 0.500 0.456
N 0.472 0.500 0.725

Values from the calculation:
The energy comes out at -16.6 eV per cell. As for the symmetry: No. 6.


Entry 3:
Computed, not measured: a geometry-optimized LaTaOs3 structure at the GGA-PBE level of DFT.

a = 4.742 Å, b = 4.742 Å, c = 4.742 Å
α = 90.00°, β = 90.00°, γ = 90.00°
Fractional coordinates of all 5 atoms:
La 0.000 0.000 0.000
Ta 0.500 0.500 0.500
Os 0.000 0.000 0.500
Os 0.000 0.500 0.000
Os 0.500 0.000 0.000

Values from the calculation:
As for the symmetry: No. 221. The energy of formation is 2772 meV/atom.


Entry 4:
Computed, not measured: a geometry-optimized PSe2 structure at the GGA-PBE level of DFT.

a = 5.389 Å, b = 5.389 Å, c = 5.389 Å
α = 112.85°, β = 112.85°, γ = 102.91°
Fractional coordinates of all 6 atoms:
P 0.250 0.250 0.000
P 0.750 0.750 0.000
Se 0.156 0.656 0.813
Se 0.344 0.156 0.500
Se 0.656 0.844 0.500
Se 0.844 0.344 0.187

Values from the calculation:
The uncorrected formation energy comes out at 11.17 kcal/mol of atoms. As for the symmetry: No. 140.


Entry 5:
Computed, not measured: a geometry-optimized SrIn6Cu2 structure at the GGA-PBE level of DFT.

a = 9.136 Å, b = 9.136 Å, c = 9.136 Å
α = 60.00°, β = 60.00°, γ = 60.00°
Fractional coordinates of all 18 atoms:
Sr 0.125 0.125 0.125
Sr 0.875 0.875 0.875
In 0.147 0.147 0.603
In 0.147 0.603 0.147
In 0.147 0.603 0.603
In 0.397 0.397 0.853
In 0.397 0.853 0.397
In 0.397 0.853 0.853
In 0.603 0.147 0.147
In 0.603 0.147 0.603
In 0.603 0.603 0.147
In 0.853 0.397 0.397
In 0.853 0.397 0.853
In 0.853 0.853 0.397
Cu 0.000 0.500 0.500
Cu 0.500 0.000 0.500
Cu 0.500 0.500 0.000
Cu 0.500 0.500 0.500

Values from the calculation:
As for the symmetry: No. 227. The energy of formation is 109 meV/atom.


Entry 6:
Computed, not measured: a geometry-optimized DyEr5Rh4 structure at the GGA-PBE level of DFT.

a = 7.628 Å, b = 7.628 Å, c = 6.735 Å
α = 90.35°, β = 90.35°, γ = 36.35°
Fractional coordinates of all 10 atoms:
Dy 0.000 0.000 0.000
Er 0.000 0.000 0.500
Er 0.333 0.333 0.000
Er 0.333 0.333 0.500
Er 0.667 0.667 0.000
Er 0.667 0.667 0.500
Rh 0.166 0.166 0.750
Rh 0.499 0.499 0.749
Rh 0.501 0.501 0.251
Rh 0.834 0.834 0.250

Values from the calculation:
As for the symmetry: No. 12. The energy of formation is -748 meV/atom.


Copy entry 1 word for word.
Computed, not measured: a geometry-optimized KLa2Ag structure at the GGA-PBE level of DFT.

a = 6.713 Å, b = 6.713 Å, c = 6.713 Å
α = 137.89°, β = 137.89°, γ = 61.06°
Fractional coordinates of all 4 atoms:
K 0.000 0.000 0.000
La 0.250 0.750 0.500
La 0.500 0.500 0.000
Ag 0.750 0.250 0.500

Values from the calculation:
As for the symmetry: No. 119. The energy of formation is 363 meV/atom.